VASP calculation (GGA-PBE) on a geometry-optimized Tb2SmY5Th structure.

Output
ΔE_f in meV/atom: 300
Density in Mg/m³: 6.475
Energy in eV per cell: -102.04

Structure (CIF):
```
data_Tb2SmY5Th
_space_group_name_H-M_alt 'P 1'
_space_group_IT_number 1
_space_group_name_Hall 'P 1'
_cell_length_a 9.809
_cell_length_b 9.809
_cell_length_c 9.809
_cell_angle_alpha 126.71
_cell_angle_beta 126.71
_cell_angle_gamma 78.73
loop_
_atom_site_label
_atom_site_type_symbol
_atom_site_fract_x
_atom_site_fract_y
_atom_site_fract_z
Tb1 Tb 0.115 0.615 0.729
Tb2 Tb 0.385 0.115 0.500
Tb3 Tb 0.615 0.885 0.500
Tb4 Tb 0.885 0.385 0.271
Sm1 Sm 0.250 0.750 0.500
Sm2 Sm 0.750 0.250 0.500
Y1 Y 0.000 0.000 0.000
Y2 Y 0.072 0.155 0.500
Y3 Y 0.155 0.655 0.083
Y4 Y 0.345 0.428 0.500
Y5 Y 0.428 0.928 0.083
Y6 Y 0.500 0.500 0.000
Y7 Y 0.572 0.072 0.917
Y8 Y 0.655 0.572 0.500
Y9 Y 0.845 0.345 0.917
Y10 Y 0.928 0.845 0.500
Th1 Th 0.250 0.250 0.000
Th2 Th 0.750 0.750 0.000
```

***

VASP calculation (GGA-PBE) on a geometry-optimized TbSm2Ti structure.

Output
ΔE_f in meV/atom: 443
Density in Mg/m³: 7.142
Energy in eV per cell: -20.19

Structure (CIF):
```
data_TbSm2Ti
_space_group_name_H-M_alt 'P 1'
_space_group_IT_number 1
_space_group_name_Hall 'P 1'
_cell_length_a 12.037
_cell_length_b 12.037
_cell_length_c 12.037
_cell_angle_alpha 16.18
_cell_angle_beta 16.18
_cell_angle_gamma 16.18
loop_
_atom_site_label
_atom_site_type_symbol
_atom_site_fract_x
_atom_site_fract_y
_atom_site_fract_z
Tb1 Tb 0.000 0.000 0.000
Sm1 Sm 0.417 0.417 0.417
Sm2 Sm 0.583 0.583 0.583
Ti1 Ti 0.500 0.500 0.500
```

***

> Among the records above, which one has the lowest density?

Tb2SmY5Th